The following is a DFT calculation (PBE+U) of crystalline SrFe2O at its relaxed geometry.

POSCAR file:
```
SrFe2O
1.0
-0.436 0.955 -6.239
-5.918 -2.237 0.071
-4.729 3.488 -2.344
O Fe Sr
2 4 2
Direct
0.500 0.500 0.000
0.250 0.750 0.500
0.875 0.625 0.750
0.375 0.625 0.750
0.375 0.625 0.250
0.375 0.125 0.250
0.750 0.250 0.500
0.000 0.000 0.000
```

Values from the calculation:
- theoretical density (g cm⁻³) = 3.99
- N(E_F) (states/eV per atom) = 1.07
- electronic total energy (eV per formula unit) = -17.94